Record 1
9
Lattice="5.825 0.000 0.000 -2.913 5.467 -8.220 0.000 -2.295 13.168" Properties=species:S:1:pos:R:3 comment="La3Sm4Er2 PBE optimized geometry" de_polymorph_mev_per_atom=0 formation_enthalpy_0k_ev_per_atom=0.103 volume_a3_per_atom=34.385 mass_density_g_cm3=7.258 pbc="T T T"
La 0.000 3.484 0.196
La 0.000 0.000 0.000
La 2.913 -0.312 4.752
Sm 0.000 1.690 3.310
Sm 2.913 1.482 1.638
Sm 0.000 -0.516 9.706
Sm 2.913 3.688 -4.758
Er 0.000 0.911 6.552
Er 2.913 2.261 -1.604

Record 2
11
Lattice="0.239 -3.939 -4.156 -3.075 -4.421 4.014 -8.634 5.003 -1.289" Properties=species:S:1:pos:R:3 comment="La4Sm2Er5 PBE optimized geometry" de_polymorph_mev_per_atom=0 formation_enthalpy_0k_ev_per_atom=0.096 volume_a3_per_atom=33.751 mass_density_g_cm3=7.571 pbc="T T T"
La -8.054 -2.215 1.635
La -10.209 -2.207 -2.448
La -3.416 -1.142 -3.066
La -1.261 -1.150 1.017
Sm -8.174 0.481 -0.927
Sm -3.296 -3.838 -0.503
Er -6.653 -2.850 -1.633
Er -4.816 -0.507 0.203
Er -6.537 -0.247 -4.095
Er 0.120 -1.970 -2.078
Er -4.932 -3.110 2.664

Record 3
11
Lattice="8.649 0.000 0.000 0.000 7.291 0.000 0.000 -3.645 6.314" Properties=species:S:1:pos:R:3 comment="La7SmEr3 PBE optimized geometry" de_polymorph_mev_per_atom=47 formation_enthalpy_0k_ev_per_atom=0.177 volume_a3_per_atom=36.194 mass_density_g_cm3=6.775 pbc="T T T"
La 0.858 -1.847 5.276
La 0.858 0.000 2.076
La 1.144 3.645 2.105
La 4.033 5.494 1.037
La 4.033 1.796 1.037
La 4.033 3.645 4.240
La 0.858 1.847 5.276
Sm 3.799 0.000 4.209
Er 6.767 1.818 3.160
Er 6.767 0.000 6.308
Er 6.767 -1.818 3.160

Record 4
20
Lattice="5.226 0.000 0.000 0.000 5.226 0.000 0.000 0.000 26.193" Properties=species:S:1:pos:R:3 comment="La15Sm4Er PBE optimized geometry" formation_enthalpy_0k_ev_per_atom=0.011 volume_a3_per_atom=35.769 mass_density_g_cm3=6.621 pbc="T T T"
La 2.613 2.613 0.000
La 2.613 2.613 5.223
La 2.613 2.613 10.474
La 2.613 2.613 15.719
La 2.613 2.613 20.970
La 2.613 0.000 2.593
La 2.613 0.000 7.841
La 2.613 0.000 13.096
La 2.613 0.000 18.352
La 2.613 0.000 23.600
La 0.000 2.613 2.593
La 0.000 2.613 7.841
La 0.000 2.613 13.096
La 0.000 2.613 18.352
La 0.000 2.613 23.600
Sm 0.000 0.000 5.214
Sm 0.000 0.000 10.471
Sm 0.000 0.000 15.721
Sm 0.000 0.000 20.978
Er 0.000 0.000 0.000